An optimized crystal structure of Th3TlIr, computed with PBE.

The structure belongs to space group P2_1/m (No. 11); the cell edges are 7.376, 4.700 and 8.967 Å and the angles 90.00°, 103.00° and 90.00°. The distinct sites, in fractional coordinates, are Th at (0.030, 0.250, 0.331), Th at (0.292, 0.250, 0.944), Th at (0.447, 0.750, 0.622), Tl at (0.266, 0.750, 0.185) and Ir at (0.216, 0.250, 0.630).

The theoretical density comes out at 11.98 g/cm³. For the total magnetization, the calculation gives 0.00 Bohr magnetons per cell.

---

An optimized crystal structure of Th2TlIr, computed with PBE.

The structure belongs to space group C2/m (No. 12); the cell edges are 7.083, 4.091 and 8.623 Å and the angles 90.00°, 105.98° and 90.00°. The distinct sites, in fractional coordinates, are Th at (0.231, 0.000, 0.195), Tl at (0.000, 0.000, 0.500) and Ir at (0.000, 0.500, 0.000).

The theoretical density comes out at 11.90 g/cm³. For the total magnetization, the calculation gives 0.00 Bohr magnetons per cell. Its energy above the most stable polymorph in this dataset is 0.0 kJ/mol of atoms.

---

An optimized crystal structure of Th7Tl2Ir2, computed with PBE.

The structure belongs to space group Cmmm (No. 65); the cell edges are 8.475, 11.425 and 7.024 Å and the angles 90.00°, 90.00° and 90.00°. The distinct sites, in fractional coordinates, are Th at (0.000, 0.000, 0.000), Th at (0.000, 0.500, 0.240), Th at (0.250, 0.250, 0.262), Tl at (0.171, 0.000, 0.500) and Ir at (0.000, 0.266, 0.000).

The theoretical density comes out at 11.81 g/cm³. For the total magnetization, the calculation gives 0.00 Bohr magnetons per cell.

---

An optimized crystal structure of Th2TlZnIr, computed with PBE.

The structure belongs to space group P2_1/m (No. 11); the cell edges are 7.894, 4.066 and 8.724 Å and the angles 90.00°, 105.23° and 90.00°. The distinct sites, in fractional coordinates, are Th at (0.133, 0.250, 0.406), Th at (0.225, 0.250, 0.005), Tl at (0.335, 0.750, 0.726), Zn at (0.459, 0.750, 0.384) and Ir at (0.143, 0.750, 0.195).

The theoretical density comes out at 11.38 g/cm³. For the total magnetization, the calculation gives 0.00 Bohr magnetons per cell.

---

An optimized crystal structure of TmThIr4, computed with PBE.

The structure belongs to space group F-43m (No. 216); the cell edges are 7.635, 7.635 and 7.635 Å and the angles 90.00°, 90.00° and 90.00°. The distinct sites, in fractional coordinates, are Tm at (0.000, 0.000, 0.000), Th at (0.250, 0.250, 0.250) and Ir at (0.126, 0.126, 0.626).

The theoretical density comes out at 17.46 g/cm³. For the total magnetization, the calculation gives 0.00 Bohr magnetons per cell.

---

An optimized crystal structure of TmTh2Ir9, computed with PBE.

The structure belongs to space group R-3m (No. 166, hexagonal axes); the cell edges are 5.3307, 5.3307 and 26.8138 Å and the angles 90.00°, 90.00° and 120.00°. The distinct sites, in fractional coordinates, are Tm at (0.0000, 0.0000, 0.0000), Th at (0.0000, 0.0000, 0.1377), Ir at (0.0000, 0.0000, 0.3326), Ir at (0.0000, 0.0000, 0.5000) and Ir at (0.0000, 0.5000, 0.0810).

The theoretical density comes out at 17.84 g/cm³. For the total magnetization, the calculation gives 0.00 Bohr magnetons per cell.

---

An optimized crystal structure of TmThIr, computed with PBE.

The structure belongs to space group F-43m (No. 216); the cell edges are 6.902, 6.902 and 6.902 Å and the angles 90.00°, 90.00° and 90.00°. The distinct sites, in fractional coordinates, are Tm at (0.000, 0.000, 0.000), Th at (0.000, 0.000, 0.500) and Ir at (0.250, 0.250, 0.250).

The theoretical density comes out at 11.98 g/cm³. For the total magnetization, the calculation gives 0.00 Bohr magnetons per cell. Its energy above the most stable polymorph in this dataset is 0.0 kJ/mol of atoms.

---

An optimized crystal structure of TmThIr2, computed with PBE.

The structure belongs to space group Amm2 (No. 38); the cell edges are 4.249, 3.867 and 10.758 Å and the angles 90.00°, 90.00° and 90.00°. The distinct sites, in fractional coordinates, are Tm at (0.000, 0.000, 0.000), Th at (0.500, 0.000, 0.282), Ir at (0.000, 0.000, 0.728) and Ir at (0.500, 0.000, 0.548).

The theoretical density comes out at 14.76 g/cm³. For the total magnetization, the calculation gives 0.00 Bohr magnetons per cell. Its energy above the most stable polymorph in this dataset is 0.0 kJ/mol of atoms.

---

An optimized crystal structure of TmThIr2, computed with PBE.

The structure belongs to space group R-3m (No. 166, hexagonal axes); the cell edges are 4.0639, 4.0639 and 19.5872 Å and the angles 90.00°, 90.00° and 120.00°. The distinct sites, in fractional coordinates, are Tm at (0.0000, 0.0000, 0.0000), Th at (0.0000, 0.0000, 0.5000) and Ir at (0.0000, 0.0000, 0.2524).

The theoretical density comes out at 13.97 g/cm³. For the total magnetization, the calculation gives 0.00 Bohr magnetons per cell. Its energy above the most stable polymorph in this dataset is 17.2 kJ/mol of atoms.

---

An optimized crystal structure of Tm2ThIr, computed with PBE.

The structure belongs to space group Pnma (No. 62); the cell edges are 7.159, 9.488 and 6.382 Å and the angles 90.00°, 90.00° and 90.00°. The distinct sites, in fractional coordinates, are Tm at (0.177, 0.066, 0.165), Th at (0.038, 0.250, 0.649) and Ir at (0.125, 0.750, 0.943).

The theoretical density comes out at 11.68 g/cm³. For the total magnetization, the calculation gives 0.00 Bohr magnetons per cell. Its energy above the most stable polymorph in this dataset is 0.0 kJ/mol of atoms.

---

An optimized crystal structure of Tm2ThIr9, computed with PBE.

The structure belongs to space group R-3m (No. 166, hexagonal axes); the cell edges are 5.3169, 5.3169 and 26.2850 Å and the angles 90.00°, 90.00° and 120.00°. The distinct sites, in fractional coordinates, are Tm at (0.0000, 0.0000, 0.1406), Th at (0.0000, 0.0000, 0.0000), Ir at (0.0000, 0.0000, 0.3333), Ir at (0.0000, 0.0000, 0.5000) and Ir at (0.0006, 0.5003, 0.9167).

The theoretical density comes out at 17.80 g/cm³. For the total magnetization, the calculation gives 0.00 Bohr magnetons per cell.

---

An optimized crystal structure of TmTh2Ir, computed with PBE.

The structure belongs to space group R-3m (No. 166, hexagonal axes); the cell edges are 3.8706, 3.8706 and 30.8352 Å and the angles 90.00°, 90.00° and 120.00°. The distinct sites, in fractional coordinates, are Tm at (0.0000, 0.0000, 0.0000), Th at (0.0000, 0.0000, 0.1107) and Ir at (0.0000, 0.0000, 0.5000).

The theoretical density comes out at 10.28 g/cm³. For the total magnetization, the calculation gives 0.00 Bohr magnetons per cell.

---

no.,calculated formation energy (eV per atom)
1,-0.36
2,-0.54
3,-0.23
4,-0.38
5,-0.82
6,-0.62
7,-0.63
8,-0.94
9,-0.76
10,-0.59
11,-0.65
12,-0.08